{"formula": "FeCl2", "functional": "PBE", "state": "relaxed", "rho_g_cm3": 3.28, "final_energy_ev_per_cell": -17.15, "space_group": "Fd-3m, No. 227", "lattice": [[0.0000, 4.0031, 4.0031], [4.0031, 0.0000, 4.0031], [4.0031, 4.0031, 0.0000]], "species": ["Fe", "Fe", "Cl", "Cl", "Cl", "Cl"], "frac_coords": [[0.0000, 0.0000, 0.0000], [0.2500, 0.2500, 0.2500], [0.6250, 0.6250, 0.1250], [0.6250, 0.1250, 0.6250], [0.6250, 0.6250, 0.6250], [0.1250, 0.6250, 0.6250]]}

{"formula": "Fe2Cl", "functional": "PBE", "state": "relaxed", "rho_g_cm3": 2.15, "relative_energy_mev_per_atom": 939, "space_group": "Fd-3m, No. 227", "lattice": [[3.4251, 1.9775, 5.5931], [-3.4251, 1.9775, 5.5931], [0.0000, -3.9549, 5.5931]], "species": ["Cl", "Cl", "Fe", "Fe", "Fe", "Fe"], "frac_coords": [[0.2500, 0.2500, 0.2500], [0.5000, 0.5000, 0.5000], [0.3750, 0.3750, 0.3750], [0.8750, 0.3750, 0.3750], [0.3750, 0.8750, 0.3750], [0.3750, 0.3750, 0.8750]]}

{"formula": "FeCl", "functional": "PBE", "state": "relaxed", "rho_g_cm3": 4.13, "final_energy_ev_per_cell": -20.45, "space_group": "Pmma, No. 51", "lattice": [[3.0577, 0.0000, 0.0000], [0.0000, 3.4320, 0.0000], [0.0000, 0.0000, 6.9917]], "species": ["Cl", "Cl", "Fe", "Fe"], "frac_coords": [[0.7500, 0.0000, 0.7769], [0.2500, 0.0000, 0.2231], [0.7500, 0.5000, 0.3651], [0.2500, 0.5000, 0.6349]]}